Record 1
Density functional theory data (PBE+U) for an optimized crystal structure of SmTmMoO6.

Unit cell a=5.5501 b=5.5501 c=4.7035 alpha=90.00 beta=90.00 gamma=120.00
Closest atoms and distances in Å follow each position.
Fractional positions:
1 Sm 0.0000 0.0000 0.0000  6 O 2.31
2 Tm 0.6667 0.3333 0.5000  6 O 2.29
3 Mo 0.3333 0.6667 0.0000  6 O 1.96
4 O 0.0322 0.3820 0.2323  1 Mo 1.96
5 O 0.0322 0.6502 0.7677  1 Mo 1.96
6 O 0.3498 0.3820 0.7677  1 Mo 1.96
7 O 0.3498 0.9678 0.2323  1 Mo 1.96
8 O 0.6180 0.6502 0.2323  1 Mo 1.96
9 O 0.6180 0.9678 0.7677  1 Mo 1.96

DFT total energy ... -69.65 eV/cell
Total magnetic moment ... 0.0 μB/f.u.
Crystal system ... trigonal
D(E_F) ... 0.0 states/eV per cell
Symmetry ... P312 (149)

Record 2
Density functional theory data (PBE+U) for an optimized crystal structure of SmYMo2O8.

Unit cell a=6.7377 b=6.7377 c=6.7377 alpha=133.72 beta=133.72 gamma=67.52
Closest atoms and distances in Å follow each position.
Fractional positions:
1 Sm 0.0000 0.0000 0.0000  8 O 2.39-2.44
2 Y 0.2500 0.7500 0.5000  8 O 2.32-2.48
3 Mo 0.5000 0.5000 0.0000  4 O 1.82
4 Mo 0.7500 0.2500 0.5000  4 O 1.99
5 O 0.0264 0.0776 0.4221  1 Mo 1.99
6 O 0.2391 0.6443 0.0588  1 Mo 1.82
7 O 0.3557 0.4146 0.5949  1 Mo 1.82
8 O 0.3957 0.9736 0.0513  1 Mo 1.99
9 O 0.5854 0.1803 0.9412  1 Mo 1.82
10 O 0.6556 0.6043 0.5779  1 Mo 1.99
11 O 0.8197 0.7609 0.4051  1 Mo 1.82
12 O 0.9224 0.3444 0.9487  1 Mo 1.99

DFT total energy ... -94.29 eV/cell
Total magnetic moment ... 2.0 μB/f.u.
Crystal system ... tetragonal
Symmetry ... I-4 (82)

Record 3
Density functional theory data (PBE+U) for an optimized crystal structure of SnMoO2.

Unit cell a=7.4648 b=7.4648 c=7.4648 alpha=23.92 beta=23.92 gamma=23.92
Closest atoms and distances in Å follow each position.
Fractional positions:
1 Sn 0.0000 0.0000 0.0000  6 O 2.50
2 Mo 0.5000 0.5000 0.5000  2 O 1.88
3 O 0.4137 0.4137 0.4137  1 Mo 1.88
4 O 0.5863 0.5863 0.5863  1 Mo 1.88

DFT total energy ... -22.79 eV/cell
Total magnetic moment ... 0.0 μB/f.u.
Crystal system ... trigonal
D(E_F) ... 1.4 states/eV per cell
Symmetry ... R-3m (166)

Record 4
Density functional theory data (PBE+U) for an optimized crystal structure of Sn2Mo2O.

Unit cell a=6.6063 b=6.6063 c=4.8159 alpha=90.00 beta=90.00 gamma=90.00
Closest atoms and distances in Å follow each position.
Fractional positions:
1 Sn 0.1683 0.3317 0.0000  2 O 2.46
2 Sn 0.3317 0.8317 0.0000  2 O 2.46
3 Sn 0.6683 0.1683 0.0000  2 O 2.46
4 Sn 0.8317 0.6683 0.0000  2 O 2.46
5 Mo 0.1595 0.6595 0.5000  6 Sn 2.90-3.24, 1 Mo 2.98
6 Mo 0.3405 0.1595 0.5000  6 Sn 2.90-3.24, 1 Mo 2.98
7 Mo 0.6595 0.8405 0.5000  6 Sn 2.90-3.24, 1 Mo 2.98
8 Mo 0.8405 0.3405 0.5000  6 Sn 2.90-3.24, 1 Mo 2.98
9 O 0.0000 0.0000 0.0000  4 Sn 2.46
10 O 0.5000 0.5000 0.0000  4 Sn 2.46

E above lowest polymorph ... 0.000 eV per atom
Total magnetic moment ... 7.7 μB/f.u.
Crystal system ... tetragonal
D(E_F) ... 4.2 states/eV per cell
Symmetry ... P4/mbm (127)

Record 5
Density functional theory data (PBE+U) for an optimized crystal structure of Sn2Mo2O.

Unit cell a=7.8426 b=7.8426 c=7.8426 alpha=153.39 beta=153.39 gamma=37.98
Closest atoms and distances in Å follow each position.
Fractional positions:
1 Sn 0.0911 0.0911 0.0000  1 Sn 2.70, 4 O 2.89, 4 Mo 2.97
2 Sn 0.9089 0.9089 0.0000  1 Sn 2.70, 4 O 2.89, 4 Mo 2.97
3 Mo 0.2500 0.7500 0.5000  4 Mo 2.55
4 Mo 0.7500 0.2500 0.5000  4 Mo 2.55
5 O 0.5000 0.5000 0.0000  8 Sn 2.89

E above lowest polymorph ... 0.374 eV per atom
Total magnetic moment ... 0.0 μB/f.u.
Crystal system ... tetragonal
D(E_F) ... 4.5 states/eV per cell
Symmetry ... I4/mmm (139)

Record 6
Density functional theory data (PBE+U) for an optimized crystal structure of Sn2MoO6.

Unit cell a=4.7977 b=4.7977 c=9.7583 alpha=90.00 beta=90.00 gamma=90.00
Closest atoms and distances in Å follow each position.
Fractional positions:
1 Sn 0.0000 0.0000 0.1671  6 O 2.08-2.11
2 Sn 0.0000 0.0000 0.8329  6 O 2.08-2.11
3 Sn 0.5000 0.5000 0.3329  6 O 2.08-2.11
4 Sn 0.5000 0.5000 0.6671  6 O 2.08-2.11
5 Mo 0.0000 0.0000 0.5000  6 O 2.05-2.08
6 Mo 0.5000 0.5000 0.0000  6 O 2.05-2.08
7 O 0.1936 0.1936 0.3344  2 Sn 2.08-2.10, 1 Mo 2.08
8 O 0.1936 0.1936 0.6656  2 Sn 2.08-2.10, 1 Mo 2.08
9 O 0.1980 0.1980 0.0000  1 Mo 2.05, 2 Sn 2.11
10 O 0.3020 0.6980 0.5000  1 Mo 2.05, 2 Sn 2.11
11 O 0.3064 0.6936 0.1656  2 Sn 2.08-2.10, 1 Mo 2.08
12 O 0.3064 0.6936 0.8344  2 Sn 2.08-2.10, 1 Mo 2.08
13 O 0.6936 0.3064 0.1656  2 Sn 2.08-2.10, 1 Mo 2.08
14 O 0.6936 0.3064 0.8344  2 Sn 2.08-2.10, 1 Mo 2.08
15 O 0.6980 0.3020 0.5000  1 Mo 2.05, 2 Sn 2.11
16 O 0.8020 0.8020 0.0000  1 Mo 2.05, 2 Sn 2.11
17 O 0.8064 0.8064 0.3344  2 Sn 2.08-2.10, 1 Mo 2.08
18 O 0.8064 0.8064 0.6656  2 Sn 2.08-2.10, 1 Mo 2.08

DFT total energy ... -119.80 eV/cell
Total magnetic moment ... 2.0 μB/f.u.
Crystal system ... tetragonal
Symmetry ... P4_2/mnm (136)